No. 1
This record from Alexandria describes a geometry-optimized AcPm3Ir structure. The functional is PBE.

```
AcPm3Ir
1.0
5.649 0.000 0.000
0.000 5.649 0.000
0.000 0.000 5.649
Ir Pm Ac
1 3 1
Cartesian
0.000 0.000 0.000
0.000 0.000 2.825
0.000 2.825 0.000
2.825 0.000 0.000
2.825 2.825 2.825
```

Energy above the most stable polymorph in this dataset: 0.052 eV per atom
Final energy: -28.34 eV for the cell shown
Energy relative to the elements: -0.225 eV/atom



No. 2
This record from Alexandria describes a geometry-optimized AcPmIrPt structure. The functional is PBE.

```
AcPmIrPt
1.0
4.059 0.000 0.000
0.000 4.443 0.000
-2.029 0.000 5.611
Ac Pm Pt Ir
1 1 1 1
Cartesian
0.000 0.000 1.590
2.029 2.222 4.083
2.029 2.222 0.943
0.000 0.000 4.605
```

Energy above the most stable polymorph in this dataset: 0.000 eV per atom
Final energy: -27.27 eV for the cell shown
Energy relative to the elements: -0.878 eV/atom



Q: Among the records above, which one has the lowest final energy?
A: AcPm3Ir